Tb2NdTh: relaxed, GGA-PBE.

## Properties
- offset from the most stable computed form (eV per formula unit) = 0.00
- spin magnetization (μB/atom) = 0.0000
- calculated formation energy (eV/f.u.) = 0.0
- D(E_F) (states/eV per atom) = 1.399

abc: 6.2633 3.6293 11.5372
angles: 90.00 90.03 90.00
Space group C2/m (No. 12)
Inequivalent atoms, fractional coordinates:
Tb 0.1661 0.0000 0.2427
Nd 0.0000 0.5000 0.5000
Th 0.0000 0.5000 0.0000

=====

Tb3Nd2Th4: relaxed, GGA-PBE.

## Properties
- spin magnetization (μB/atom) = 0.0000
- calculated formation energy (eV/f.u.) = 0.5
- D(E_F) (states/eV per atom) = 1.618

abc: 18.7235 3.6049 9.7713
angles: 90.00 115.47 90.00
Space group C2/m (No. 12)
Inequivalent atoms, fractional coordinates:
Tb 0.0000 0.0000 0.0000
Tb 0.1469 0.0000 0.6664
Nd 0.1637 0.5000 0.0002
Th 0.0252 0.5000 0.3373
Th 0.1837 0.0000 0.3402

=====

Tb3Nd6Th: relaxed, GGA-PBE.

## Properties
- offset from the most stable computed form (eV per formula unit) = 1.26
- spin magnetization (μB/atom) = 0.0000
- calculated formation energy (eV/f.u.) = 2.1
- D(E_F) (states/eV per atom) = 1.364

abc: 5.0802 11.0004 12.6979
angles: 90.00 90.49 90.00
Space group P2_1/c (No. 14)
Inequivalent atoms, fractional coordinates:
Tb 0.0000 0.0000 0.0000
Tb 0.0036 0.1608 0.6306
Nd 0.0041 0.6665 0.1407
Nd 0.4954 0.5074 0.7205
Nd 0.5002 0.1953 0.0035
Th 0.5000 0.0000 0.5000

=====

Tb6NdTh2: relaxed, GGA-PBE.

## Properties
- offset from the most stable computed form (eV per formula unit) = 0.18
- spin magnetization (μB/atom) = 0.0001
- calculated formation energy (eV/f.u.) = 0.7
- D(E_F) (states/eV per atom) = 2.015

abc: 3.5821 3.5821 26.5673
angles: 90.00 90.00 120.00
Space group P-6m2 (No. 187)
Inequivalent atoms, fractional coordinates:
Tb 0.0000 0.0000 0.0629
Tb 0.0000 0.0000 0.2804
Tb 0.3333 0.6667 0.3879
Nd 0.0000 0.0000 0.5000
Th 0.3333 0.6667 0.1694